1.
Below is an optimized crystal structure of YPd3, with properties calculated at the GGA-PBEsol level.

a b c (Å): 4.0516 4.0516 4.0516
angles (deg): 90.00 90.00 90.00
With the nearest neighbours (Å) after each atom.
Fractional coordinates of all 4 atoms:
Y  0.0000  0.0000  0.0000  12 Pd 2.86
Pd  0.0000  0.5000  0.5000  8 Pd 2.86, 4 Y 2.86
Pd  0.5000  0.0000  0.5000  8 Pd 2.86, 4 Y 2.86
Pd  0.5000  0.5000  0.0000  8 Pd 2.86, 4 Y 2.86

Final energy, eV/atom: -7.04
Spin magnetization, μB/f.u.: 0.0
SG: Pm-3m (221)
DOS at the Fermi energy, states/eV/atom: 0.52
Formation enthalpy at 0 K, meV/atom: -865.2

***

2.
Below is an optimized crystal structure of Y3Pd2, with properties calculated at the GGA-PBEsol level.

a b c (Å): 7.3821 7.3821 7.3821
angles (deg): 71.82 71.82 71.82
With the nearest neighbours (Å) after each atom.
Fractional coordinates of all 15 atoms:
Y  0.0000  0.0000  0.0000  6 Pd 2.96
Y  0.1707  0.6573  0.3947  4 Pd 2.86-3.12
Y  0.2043  0.2043  0.2043  6 Pd 2.84-3.04
Y  0.3427  0.6053  0.8293  4 Pd 2.86-3.12
Y  0.3947  0.1707  0.6573  4 Pd 2.86-3.12
Y  0.6053  0.8293  0.3427  4 Pd 2.86-3.12
Y  0.6573  0.3947  0.1707  4 Pd 2.86-3.12
Y  0.7957  0.7957  0.7957  6 Pd 2.84-3.04
Y  0.8293  0.3427  0.6053  4 Pd 2.86-3.12
Pd  0.0422  0.4102  0.8418  7 Y 2.84-3.12, 1 Pd 2.85
Pd  0.1582  0.9578  0.5898  7 Y 2.84-3.12, 1 Pd 2.85
Pd  0.4102  0.8418  0.0422  7 Y 2.84-3.12, 1 Pd 2.85
Pd  0.5898  0.1582  0.9578  7 Y 2.84-3.12, 1 Pd 2.85
Pd  0.8418  0.0422  0.4102  7 Y 2.84-3.12, 1 Pd 2.85
Pd  0.9578  0.5898  0.1582  7 Y 2.84-3.12, 1 Pd 2.85

Final energy, eV/atom: -7.19
Spin magnetization, μB/f.u.: 0.0
SG: R-3 (148)
DOS at the Fermi energy, states/eV/atom: 1.06
Formation enthalpy at 0 K, meV/atom: -715.7

***

3.
Below is an optimized crystal structure of YPd2, with properties calculated at the GGA-PBEsol level.

a b c (Å): 5.1148 5.1148 5.1148
angles (deg): 139.93 139.93 57.96
With the nearest neighbours (Å) after each atom.
Fractional coordinates of all 3 atoms:
Y  0.0000  0.0000  0.0000  10 Pd 2.90-2.96
Pd  0.3313  0.3313  0.0000  5 Pd 2.87-3.02, 5 Y 2.90-2.96
Pd  0.6687  0.6687  0.0000  5 Pd 2.87-3.02, 5 Y 2.90-2.96

Final energy, eV/atom: -6.98
Spin magnetization, μB/f.u.: 0.0
SG: I4/mmm (139)
DOS at the Fermi energy, states/eV/atom: 0.61
Formation enthalpy at 0 K, meV/atom: -737.8

***

4.
Below is an optimized crystal structure of Y3Pd, with properties calculated at the GGA-PBEsol level.

a b c (Å): 6.9385 9.5675 6.3911
angles (deg): 90.00 90.00 90.00
With the nearest neighbours (Å) after each atom.
Fractional coordinates of all 16 atoms:
Y  0.0231  0.2500  0.1310  2 Pd 2.81-2.87
Y  0.1805  0.0596  0.6767  2 Pd 2.83-2.89
Y  0.1805  0.4404  0.6767  2 Pd 2.83-2.89
Y  0.3195  0.5596  0.1767  2 Pd 2.83-2.89
Y  0.3195  0.9404  0.1767  2 Pd 2.83-2.89
Y  0.4769  0.7500  0.6310  2 Pd 2.81-2.87
Y  0.5231  0.2500  0.3690  2 Pd 2.81-2.87
Y  0.6805  0.0596  0.8233  2 Pd 2.83-2.89
Y  0.6805  0.4404  0.8233  2 Pd 2.83-2.89
Y  0.8195  0.5596  0.3233  2 Pd 2.83-2.89
Y  0.8195  0.9404  0.3233  2 Pd 2.83-2.89
Y  0.9769  0.7500  0.8690  2 Pd 2.81-2.87
Pd  0.1101  0.7500  0.4442  6 Y 2.81-2.89
Pd  0.3899  0.2500  0.9442  6 Y 2.81-2.89
Pd  0.6101  0.7500  0.0558  6 Y 2.81-2.89
Pd  0.8899  0.2500  0.5558  6 Y 2.81-2.89

Final energy, eV/atom: -7.07
Spin magnetization, μB/f.u.: 0.0
SG: Pnma (62)
DOS at the Fermi energy, states/eV/atom: 1.22
Formation enthalpy at 0 K, meV/atom: -466.6